1.
Below is Cu2WSe at its PBEsol-relaxed geometry, with properties calculated at the SCAN level.

Cell: 2.796 2.796 8.659 Å, 80.71 80.71 60.00°
Positions (direct):
1 Cu 0.250 0.250 0.251
2 Cu 0.750 0.750 0.749
3 Se 0.500 0.500 0.500
4 W 0.000 0.000 0.000

Values from the calculation:
The energy comes out at -29.56 eV per atom. The symmetry is R-3m, No. 166. As for the formation energy (no corrections): 0.48 eV per atom.

---

2.
Below is In3CoHg at its PBEsol-relaxed geometry, with properties calculated at the SCAN level.

Cell: 4.897 4.897 4.897 Å, 90.00 90.00 90.00°
Positions (direct):
1 Co 0.000 0.000 0.000
2 Hg 0.500 0.500 0.500
3 In 0.000 0.500 0.000
4 In 0.000 0.000 0.500
5 In 0.500 0.000 0.000

Values from the calculation:
The value obtained for the formation energy is 0.05 eV/f.u. The energy comes out at -37.11 eV per atom. The symmetry is Pm-3m, No. 221.